10
Lattice="6.8305 0.0000 0.0000 0.0000 6.8305 0.0000 0.0000 0.0000 3.2337" Properties=species:S:1:pos:R:3 comment="Ta2Ni2Au, optimized geometry, DFT PBE-GGA" vol_a3_per_cell=151 e_above_lowest_polymorph_mev_per_atom=0 magnetic_moment_mub_per_atom=0.00 spacegroup="No. 127" formation_enthalpy_0k_mev_per_atom=-189 dft_energy_ev_per_cell=-78.98 pbc="T T T"
Ni 2.5534 5.9686 0.0000
Ni 5.9686 4.2771 0.0000
Ni 4.2771 0.8619 0.0000
Ni 0.8619 2.5534 0.0000
Au 0.0000 0.0000 0.0000
Au 3.4152 3.4152 0.0000
Ta 1.1583 4.5735 1.6168
Ta 4.5735 5.6722 1.6168
Ta 5.6722 2.2570 1.6168
Ta 2.2570 1.1583 1.6168

=====

3
Lattice="4.3023 0.0000 0.0000 2.1511 3.7259 0.0000 2.1511 1.2420 3.5128" Properties=species:S:1:pos:R:3 comment="TaNiAu, optimized geometry, DFT PBE-GGA" vol_a3_per_cell=56 e_above_lowest_polymorph_mev_per_atom=621 magnetic_moment_mub_per_atom=0.00 spacegroup="No. 216" formation_enthalpy_0k_mev_per_atom=440 dft_energy_ev_per_cell=-19.59 pbc="T T T"
Au 0.0000 0.0000 0.0000
Ni 4.3023 2.4839 1.7564
Ta 2.1511 1.2420 0.8782